1.
GGA-PBE Ca3NO2, relaxed; symmetry = C2/c, No. 15; VASP energy = -73.0 eV for the cell shown; total moment = 0.167 μB/atom; energy relative to the lowest polymorph listed for this composition = 0 meV/atom; V = 14.70 Å³/atom; formation energy without anion corrections = -2.041 eV per atom
1.0
3.0373 -5.1910 0.0000
3.0373 5.1910 0.0000
-1.9898 0.0000 5.5940
Ca N O
6 2 4
Direct
0.0000 0.5000 0.5000
0.1534 0.3265 0.0040
0.3265 0.1534 0.5040
0.5000 0.0000 0.0000
0.6735 0.8466 0.4960
0.8466 0.6735 0.9960
0.4180 0.5820 0.7500
0.5820 0.4180 0.2500
0.0844 0.9156 0.7500
0.2499 0.7501 0.2500
0.7501 0.2499 0.7500
0.9156 0.0844 0.2500


2.
GGA-PBE Ca4N2O, relaxed; symmetry = Cmcm, No. 63; VASP energy = -77.5 eV for the cell shown; total moment = 0.000 μB/atom; energy relative to the lowest polymorph listed for this composition = 0 meV/atom; V = 16.79 Å³/atom; formation energy without anion corrections = -1.307 eV per atom
1.0
1.7404 -5.8330 0.0000
1.7404 5.8330 0.0000
0.0000 0.0000 11.5769
Ca N O
8 4 2
Direct
0.0000 0.0000 0.0000
0.0000 0.0000 0.5000
0.2689 0.7311 0.6135
0.2689 0.7311 0.8865
0.4709 0.5291 0.2500
0.5291 0.4709 0.7500
0.7311 0.2689 0.1135
0.7311 0.2689 0.3865
0.3661 0.6339 0.0716
0.3661 0.6339 0.4284
0.6339 0.3661 0.5716
0.6339 0.3661 0.9284
0.1063 0.8937 0.2500
0.8937 0.1063 0.7500


3.
GGA-PBE Ca4NO3, relaxed; symmetry = Pm-3m, No. 221; VASP energy = -49.3 eV for the cell shown; total moment = 0.126 μB/atom; V = 14.53 Å³/atom; formation energy without anion corrections = -2.265 eV per atom
1.0
4.8802 0.0000 0.0000
0.0000 4.8802 0.0000
0.0000 0.0000 4.8802
Ca N O
4 1 3
Direct
0.0000 0.0000 0.0000
0.0000 0.5000 0.5000
0.5000 0.0000 0.5000
0.5000 0.5000 0.0000
0.5000 0.5000 0.5000
0.0000 0.0000 0.5000
0.0000 0.5000 0.0000
0.5000 0.0000 0.0000


4.
GGA-PBE Ca5N2O2, relaxed; symmetry = C2/m, No. 12; VASP energy = -50.6 eV for the cell shown; total moment = 0.000 μB/atom; V = 17.36 Å³/atom; formation energy without anion corrections = -1.557 eV per atom
1.0
6.0635 -2.1923 0.0000
6.0635 2.1923 0.0000
-4.4252 0.0000 5.8763
Ca N O
5 2 2
Direct
0.0000 0.0000 0.0000
0.1383 0.1383 0.7604
0.3684 0.3684 0.6570
0.6316 0.6316 0.3430
0.8617 0.8617 0.2396
0.1077 0.1077 0.4154
0.8923 0.8923 0.5846
0.3786 0.3786 0.0094
0.6214 0.6214 0.9906


5.
GGA-PBE Ca2NO, relaxed; symmetry = Fm-3m, No. 225; VASP energy = -21.9 eV for the cell shown; total moment = 0.250 μB/atom; energy relative to the lowest polymorph listed for this composition = 249 meV/atom; V = 13.45 Å³/atom; formation energy without anion corrections = -1.163 eV per atom
1.0
0.0000 2.9966 2.9966
2.9966 0.0000 2.9966
2.9966 2.9966 0.0000
Ca N O
2 1 1
Direct
0.2500 0.2500 0.2500
0.7500 0.7500 0.7500
0.0000 0.0000 0.0000
0.5000 0.5000 0.5000


6.
GGA-PBE Ca8N4O, relaxed; symmetry = F-43m, No. 216; VASP energy = -68.2 eV for the cell shown; total moment = 0.000 μB/atom; V = 20.66 Å³/atom; formation energy without anion corrections = -1.073 eV per atom
1.0
0.0000 5.1208 5.1208
5.1208 0.0000 5.1208
5.1208 5.1208 0.0000
Ca N O
8 4 1
Direct
0.3899 0.3899 0.3899
0.3899 0.3899 0.8302
0.3899 0.8302 0.3899
0.4038 0.8654 0.8654
0.8302 0.3899 0.3899
0.8654 0.4038 0.8654
0.8654 0.8654 0.4038
0.8654 0.8654 0.8654
0.1295 0.6235 0.6235
0.6235 0.1295 0.6235
0.6235 0.6235 0.1295
0.6235 0.6235 0.6235
0.0000 0.0000 0.0000


7.
GGA-PBE Ca8N3O, relaxed; symmetry = P6_3mc, No. 186; VASP energy = -115.3 eV for the cell shown; total moment = 0.086 μB/atom; V = 22.47 Å³/atom; formation energy without anion corrections = -0.976 eV per atom
1.0
7.1929 0.0000 0.0000
-3.5965 6.2293 0.0000
0.0000 0.0000 12.0340
Ca N O
16 6 2
Direct
0.0000 0.0000 0.0000
0.0000 0.0000 0.5000
0.0325 0.5163 0.0203
0.1635 0.3270 0.2882
0.1635 0.8365 0.2882
0.3270 0.1635 0.7882
0.3333 0.6667 0.7961
0.4837 0.5163 0.0203
0.4837 0.9675 0.0203
0.5163 0.0325 0.5203
0.5163 0.4837 0.5203
0.6667 0.3333 0.2961
0.6730 0.8365 0.2882
0.8365 0.1635 0.7882
0.8365 0.6730 0.7882
0.9675 0.4837 0.5203
0.1676 0.3353 0.8990
0.1676 0.8324 0.8990
0.3353 0.1676 0.3990
0.6647 0.8324 0.8990
0.8324 0.1676 0.3990
0.8324 0.6647 0.3990
0.3333 0.6667 0.1513
0.6667 0.3333 0.6513


8.
GGA-PBE Ca2NO, relaxed; symmetry = I-42d, No. 122; VASP energy = -45.9 eV for the cell shown; total moment = 0.250 μB/atom; energy relative to the lowest polymorph listed for this composition = 0 meV/atom; V = 17.38 Å³/atom; formation energy without anion corrections = -1.412 eV per atom
1.0
-3.0010 3.0010 3.8604
3.0010 -3.0010 3.8604
3.0010 3.0010 -3.8604
Ca N O
4 2 2
Direct
0.1080 0.6250 0.9830
0.3750 0.3580 0.4830
0.6420 0.1250 0.0170
0.8750 0.8920 0.5170
0.2500 0.7500 0.5000
0.5000 0.5000 0.0000
0.0000 0.0000 0.0000
0.7500 0.2500 0.5000


9.
GGA-PBE CaOsNO2, relaxed; symmetry = P4/mmm, No. 123; VASP energy = -37.1 eV for the cell shown; total moment = 0.000 μB/atom; V = 12.12 Å³/atom; formation energy without anion corrections = -1.118 eV per atom
1.0
3.9910 0.0000 0.0000
0.0000 3.9910 0.0000
0.0000 0.0000 3.8055
Ca Os N O
1 1 1 2
Direct
0.0000 0.0000 0.0000
0.5000 0.5000 0.5000
0.5000 0.5000 0.0000
0.0000 0.5000 0.5000
0.5000 0.0000 0.5000


10.
GGA-PBE CaOsNO2, relaxed; symmetry = P4/mmm, No. 123; VASP energy = -24.7 eV for the cell shown; total moment = 0.674 μB/atom; V = 15.36 Å³/atom; formation energy without anion corrections = 1.350 eV per atom
1.0
4.1830 0.0000 0.0000
0.0000 4.1830 0.0000
0.0000 0.0000 4.3898
Ca Os N O
1 1 1 2
Direct
0.0000 0.0000 0.0000
0.5000 0.5000 0.5000
0.0000 0.0000 0.5000
0.0000 0.5000 0.0000
0.5000 0.0000 0.0000


11.
GGA-PBE CaOsNO2, relaxed; symmetry = P4/mmm, No. 123; VASP energy = -33.4 eV for the cell shown; total moment = 0.320 μB/atom; V = 18.19 Å³/atom; formation energy without anion corrections = -0.393 eV per atom
1.0
3.6808 0.0000 0.0000
0.0000 3.6808 0.0000
0.0000 0.0000 6.7143
Ca Os N O
1 1 1 2
Direct
0.0000 0.0000 0.0000
0.0000 0.0000 0.5000
0.5000 0.5000 0.0000
0.0000 0.5000 0.5000
0.5000 0.0000 0.5000


12.
GGA-PBE CaPNO2, relaxed; symmetry = P4/mmm, No. 123; VASP energy = -25.8 eV for the cell shown; total moment = 0.012 μB/atom; V = 12.40 Å³/atom; formation energy without anion corrections = -0.029 eV per atom
1.0
4.2768 0.0000 0.0000
0.0000 4.2768 0.0000
0.0000 0.0000 3.3900
Ca P N O
1 1 1 2
Direct
0.0000 0.0000 0.0000
0.5000 0.5000 0.0000
0.5000 0.5000 0.5000
0.0000 0.5000 0.5000
0.5000 0.0000 0.5000


13.
GGA-PBE CaPNO2, relaxed; symmetry = P4/mmm, No. 123; VASP energy = -32.5 eV for the cell shown; total moment = 0.000 μB/atom; V = 9.40 Å³/atom; formation energy without anion corrections = -1.368 eV per atom
1.0
3.7321 0.0000 0.0000
0.0000 3.7321 0.0000
0.0000 0.0000 3.3734
Ca P N O
1 1 1 2
Direct
0.0000 0.0000 0.0000
0.5000 0.5000 0.5000
0.5000 0.5000 0.0000
0.0000 0.5000 0.5000
0.5000 0.0000 0.5000


14.
GGA-PBE CaPNO2, relaxed; symmetry = P4/mmm, No. 123; VASP energy = -20.1 eV for the cell shown; total moment = 0.801 μB/atom; V = 23.13 Å³/atom; formation energy without anion corrections = 1.118 eV per atom
1.0
4.2411 0.0000 0.0000
0.0000 4.2411 0.0000
0.0000 0.0000 6.4302
Ca P N O
1 1 1 2
Direct
0.0000 0.0000 0.0000
0.0000 0.0000 0.5000
0.5000 0.5000 0.5000
0.0000 0.5000 0.0000
0.5000 0.0000 0.0000


15.
GGA-PBE Ca6P2NO, relaxed; symmetry = P4/mmm, No. 123; VASP energy = -49.0 eV for the cell shown; total moment = 0.000 μB/atom; V = 20.66 Å³/atom; formation energy without anion corrections = -1.292 eV per atom
1.0
4.6905 0.0000 0.0000
0.0000 4.6905 0.0000
0.0000 0.0000 9.3906
Ca P N O
6 2 1 1
Direct
0.0000 0.0000 0.2471
0.0000 0.0000 0.7529
0.0000 0.5000 0.0000
0.0000 0.5000 0.5000
0.5000 0.0000 0.0000
0.5000 0.0000 0.5000
0.5000 0.5000 0.2623
0.5000 0.5000 0.7377
0.0000 0.0000 0.0000
0.0000 0.0000 0.5000


16.
GGA-PBE CaPNO2, relaxed; symmetry = P4/mmm, No. 123; VASP energy = -21.4 eV for the cell shown; total moment = 0.400 μB/atom; V = 17.57 Å³/atom; formation energy without anion corrections = 0.856 eV per atom
1.0
4.3649 0.0000 0.0000
0.0000 4.3649 0.0000
0.0000 0.0000 4.6113
Ca P N O
1 1 1 2
Direct
0.0000 0.0000 0.0000
0.5000 0.5000 0.5000
0.0000 0.0000 0.5000
0.0000 0.5000 0.0000
0.5000 0.0000 0.0000


17.
GGA-PBE CaP3NO9, relaxed; symmetry = P-6c2, No. 188; VASP energy = -189.8 eV for the cell shown; total moment = 0.290 μB/atom; V = 17.84 Å³/atom; formation energy without anion corrections = -1.693 eV per atom
1.0
7.2680 0.0000 0.0000
-3.6340 6.2943 0.0000
0.0000 0.0000 10.9209
Ca P N O
2 6 2 18
Direct
0.0000 0.0000 0.0000
0.0000 0.0000 0.5000
0.3987 0.1464 0.2500
0.3987 0.2523 0.7500
0.7477 0.1464 0.7500
0.7477 0.6013 0.2500
0.8536 0.2523 0.2500
0.8536 0.6013 0.7500
0.3333 0.6667 0.0000
0.3333 0.6667 0.5000
0.2778 0.0617 0.1331
0.2778 0.0617 0.3669
0.2778 0.2160 0.6331
0.2778 0.2160 0.8669
0.5095 0.1074 0.7500
0.5095 0.4021 0.2500
0.5979 0.1074 0.2500
0.5979 0.4905 0.7500
0.7840 0.0617 0.6331
0.7840 0.0617 0.8669
0.7840 0.7222 0.1331
0.7840 0.7222 0.3669
0.8926 0.4021 0.7500
0.8926 0.4905 0.2500
0.9383 0.2160 0.1331
0.9383 0.2160 0.3669
0.9383 0.7222 0.6331
0.9383 0.7222 0.8669


18.
GGA-PBE CaPa3N2O6, relaxed; symmetry = C2/m, No. 12; VASP energy = -109.7 eV for the cell shown; total moment = 0.089 μB/atom; V = 15.98 Å³/atom; formation energy without anion corrections = -2.732 eV per atom
1.0
5.8363 -3.5340 0.0000
5.8363 3.5340 0.0000
-0.0975 0.0000 4.6476
Ca Pa N O
1 3 2 6
Direct
0.0000 0.0000 0.0000
0.0000 0.5000 0.0000
0.5000 0.0000 0.0000
0.5000 0.5000 0.5000
0.3356 0.3356 0.7662
0.6644 0.6644 0.2338
0.1773 0.1773 0.1934
0.1814 0.6445 0.2481
0.3555 0.8186 0.7519
0.6445 0.1814 0.2481
0.8186 0.3555 0.7519
0.8227 0.8227 0.8066


19.
GGA-PBE CaPdN2O, relaxed; symmetry = P4/mmm, No. 123; VASP energy = -27.5 eV for the cell shown; total moment = 0.549 μB/atom; V = 13.28 Å³/atom; formation energy without anion corrections = 0.269 eV per atom
1.0
3.9263 0.0000 0.0000
0.0000 3.9263 0.0000
0.0000 0.0000 4.3080
Ca Pd N O
1 1 2 1
Direct
0.0000 0.0000 0.0000
0.5000 0.5000 0.5000
0.0000 0.5000 0.5000
0.5000 0.0000 0.5000
0.5000 0.5000 0.0000


20.
GGA-PBE CaPdNO2, relaxed; symmetry = P4/mmm, No. 123; VASP energy = -21.0 eV for the cell shown; total moment = 0.072 μB/atom; V = 16.27 Å³/atom; formation energy without anion corrections = 0.884 eV per atom
1.0
4.2623 0.0000 0.0000
0.0000 4.2623 0.0000
0.0000 0.0000 4.4767
Ca Pd N O
1 1 1 2
Direct
0.0000 0.0000 0.0000
0.5000 0.5000 0.5000
0.0000 0.0000 0.5000
0.0000 0.5000 0.0000
0.5000 0.0000 0.0000